1.
VASP calculation (PBE) on a relaxed structure of K2NaSc.

abc: 6.452 6.452 6.452
angles: 60.00 60.00 60.00
Site moments in Bohr magnetons follow the coordinates.
Element x y z (fractional)
K 0.250 0.250 0.250  0.01
Sc 0.500 0.500 0.500  0.89
Na 0.000 0.000 0.000  0.00
K 0.750 0.750 0.750  0.01

Summary:
Crystal system ... cubic
Formation energy from the elements ... 0.61 eV/atom
Distance to the lowest polymorph of the same formula ... 0 meV/atom
SG ... Fm-3m

2.
VASP calculation (PBE) on a relaxed structure of ZnAg2TeS4.

abc: 5.250 6.111 7.456
angles: 121.28 109.40 90.78
Element x y z (fractional)
S 0.880 0.398 0.232
Te 0.675 0.737 0.479
Zn 0.996 0.504 0.995
S 0.092 0.103 0.718
S 0.670 0.583 0.752
Ag 0.216 0.235 0.466
S 0.382 0.851 0.196
Ag 0.475 0.976 0.936

Summary:
Crystal system ... triclinic
Energy relative to the elements, uncorrected ... -12.1 kJ/mol of atoms
SG ... P1

3.
VASP calculation (PBE) on a relaxed structure of SiICl2.

abc: 5.167 5.167 5.167
angles: 60.00 60.00 60.00
Element x y z (fractional)
Cl 0.750 0.750 0.750
Si 0.000 0.000 0.000
Cl 0.250 0.250 0.250
I 0.500 0.500 0.500

Summary:
Crystal system ... cubic
Distance to the lowest polymorph of the same formula ... 683 meV/atom
Energy relative to the elements, uncorrected ... 44.7 kJ/mol of atoms
SG ... Fm-3m

What are the total DFT energy (no corrections) values for these records? In order: -1.85 -3.45 -2.20 eV per atom.